1.
Density functional theory data (PBE) for a relaxed Ba2AcInO5 crystal.

Cell and atoms, written as CIF:
```
data_Ba2AcInO5
_chemical_formula_sum 'Ba8 Ac4 In4 O20'
_cell_length_a 3.7922
_cell_length_b 15.2048
_cell_length_c 11.7169
_cell_angle_alpha 90.00
_cell_angle_beta 90.00
_cell_angle_gamma 90.00
_space_group_name_H-M_alt 'C m c 21'
_space_group_IT_number 36
loop_
_space_group_symop_operation_xyz
'x,y,z'
'-x,-y,z+1/2'
'-x,y,z'
'x,-y,z+1/2'
'x+1/2,y+1/2,z'
'-x+1/2,-y+1/2,z+1/2'
'-x+1/2,y+1/2,z'
'x+1/2,-y+1/2,z+1/2'
loop_
_atom_site_label
_atom_site_type_symbol
_atom_site_fract_x
_atom_site_fract_y
_atom_site_fract_z
Ba1 Ba 0.0000 0.1015 0.0000
Ba2 Ba 0.0000 0.1353 0.6040
Ac1 Ac 0.0000 0.2156 0.3205
In1 In 0.0000 0.4790 0.7642
O1 O 0.0000 0.0463 0.3467
O2 O 0.0000 0.2786 0.9632
O3 O 0.0000 0.3307 0.6950
O4 O 0.0000 0.3780 0.3047
O5 O 0.0000 0.4896 0.0890
```

ρ: 6847 kg/m³
spin magnetization: 0.00 μB/f.u.
final energy: -6.39 eV per atom

=====

2.
Density functional theory data (PBE) for a relaxed Gd2LuBi crystal.

Cell and atoms, written as CIF:
```
data_Gd2LuBi
_chemical_formula_sum 'Gd6 Lu3 Bi3'
_cell_length_a 3.6495
_cell_length_b 3.6495
_cell_length_c 32.6793
_cell_angle_alpha 90.00
_cell_angle_beta 90.00
_cell_angle_gamma 120.00
_space_group_name_H-M_alt 'R -3 m'
_space_group_IT_number 166
_space_group_name_Hall '-R 3 2"'
loop_
_atom_site_label
_atom_site_type_symbol
_atom_site_fract_x
_atom_site_fract_y
_atom_site_fract_z
Gd1 Gd 0.0000 0.0000 0.2467
Lu1 Lu 0.0000 0.0000 0.0000
Bi1 Bi 0.0000 0.0000 0.5000
```

ρ: 9230 kg/m³
spin magnetization: 15.36 μB/f.u.
energy above the most stable polymorph in this dataset: 0.797 eV per formula unit
final energy: -9.34 eV per atom
formation energy: -0.195 eV per atom

=====

3.
Density functional theory data (PBE) for a relaxed CdPtI3 crystal.

Cell and atoms, written as CIF:
```
data_CdPtI3
_chemical_formula_sum 'Cd1 Pt1 I3'
_cell_length_a 5.5169
_cell_length_b 5.5169
_cell_length_c 5.5169
_cell_angle_alpha 90.00
_cell_angle_beta 90.00
_cell_angle_gamma 90.00
_space_group_name_H-M_alt 'P m -3 m'
_space_group_IT_number 221
_space_group_name_Hall '-P 4 2 3'
loop_
_atom_site_label
_atom_site_type_symbol
_atom_site_fract_x
_atom_site_fract_y
_atom_site_fract_z
Cd1 Cd 0.0000 0.0000 0.0000
Pt1 Pt 0.5000 0.5000 0.5000
I1 I 0.0000 0.5000 0.5000
```

ρ: 6806 kg/m³
spin magnetization: 0.00 μB/f.u.
energy above the most stable polymorph in this dataset: 0.000 eV per formula unit
final energy: -2.25 eV per atom

=====

4.
Density functional theory data (PBE) for a relaxed ZnCdRu2 crystal.

Cell and atoms, written as CIF:
```
data_ZnCdRu2
_chemical_formula_sum 'Zn2 Cd2 Ru4'
_cell_length_a 4.0995
_cell_length_b 4.0995
_cell_length_c 7.3154
_cell_angle_alpha 90.00
_cell_angle_beta 90.00
_cell_angle_gamma 90.00
_space_group_name_H-M_alt 'I -4 m 2'
_space_group_IT_number 119
_space_group_name_Hall 'I -4 -2'
loop_
_atom_site_label
_atom_site_type_symbol
_atom_site_fract_x
_atom_site_fract_y
_atom_site_fract_z
Zn1 Zn 0.0000 0.0000 0.0000
Cd1 Cd 0.0000 0.5000 0.7500
Ru1 Ru 0.0000 0.0000 0.5000
Ru2 Ru 0.0000 0.5000 0.2500
```

ρ: 10264 kg/m³
spin magnetization: 0.02 μB/f.u.
final energy: -4.89 eV per atom
formation energy: 0.291 eV per atom

=====

5.
Density functional theory data (PBE) for a relaxed Cr2ReTe crystal.

Cell and atoms, written as CIF:
```
data_Cr2ReTe
_chemical_formula_sum 'Cr4 Re2 Te2'
_cell_length_a 8.8413
_cell_length_b 3.0643
_cell_length_c 4.7580
_cell_angle_alpha 90.00
_cell_angle_beta 97.30
_cell_angle_gamma 90.00
_space_group_name_H-M_alt 'C 1 2/m 1'
_space_group_IT_number 12
loop_
_space_group_symop_operation_xyz
'x,y,z'
'-x,-y,-z'
'-x,y,-z'
'x,-y,z'
'x+1/2,y+1/2,z'
'-x+1/2,-y+1/2,-z'
'-x+1/2,y+1/2,-z'
'x+1/2,-y+1/2,z'
loop_
_atom_site_label
_atom_site_type_symbol
_atom_site_fract_x
_atom_site_fract_y
_atom_site_fract_z
Cr1 Cr 0.2428 0.0000 0.1813
Re1 Re 0.0000 0.5000 0.0000
Te1 Te 0.0000 0.0000 0.5000
```

ρ: 10852 kg/m³
spin magnetization: 0.00 μB/f.u.
final energy: -8.10 eV per atom

=====

6.
Density functional theory data (PBE) for a relaxed CaAgBi2 crystal.

Cell and atoms, written as CIF:
```
data_CaAgBi2
_chemical_formula_sum 'Ca1 Ag1 Bi2'
_cell_length_a 4.0442
_cell_length_b 4.0442
_cell_length_c 6.9258
_cell_angle_alpha 90.00
_cell_angle_beta 90.00
_cell_angle_gamma 90.00
_space_group_name_H-M_alt 'P 4/m m m'
_space_group_IT_number 123
_space_group_name_Hall '-P 4 2'
loop_
_atom_site_label
_atom_site_type_symbol
_atom_site_fract_x
_atom_site_fract_y
_atom_site_fract_z
Ca1 Ca 0.0000 0.0000 0.0000
Ag1 Ag 0.0000 0.0000 0.5000
Bi1 Bi 0.5000 0.5000 0.2692
```

ρ: 8296 kg/m³
spin magnetization: 0.00 μB/f.u.
final energy: -3.38 eV per atom
formation energy: -0.231 eV per atom

=====

7.
Density functional theory data (PBE) for a relaxed ReTe2AuN crystal.

Cell and atoms, written as CIF:
```
data_ReTe2AuN
_chemical_formula_sum 'Re1 Te2 Au1 N1'
_cell_length_a 5.3926
_cell_length_b 5.3926
_cell_length_c 3.7295
_cell_angle_alpha 90.00
_cell_angle_beta 90.00
_cell_angle_gamma 90.00
_space_group_name_H-M_alt 'P 4/m m m'
_space_group_IT_number 123
_space_group_name_Hall '-P 4 2'
loop_
_atom_site_label
_atom_site_type_symbol
_atom_site_fract_x
_atom_site_fract_y
_atom_site_fract_z
Re1 Re 0.0000 0.0000 0.0000
Te1 Te 0.0000 0.5000 0.0000
Au1 Au 0.5000 0.5000 0.5000
N1 N 0.0000 0.0000 0.5000
```

ρ: 9989 kg/m³
spin magnetization: 0.00 μB/f.u.
energy above the most stable polymorph in this dataset: 0.000 eV per formula unit
final energy: -5.64 eV per atom

=====

8.
Density functional theory data (PBE) for a relaxed BaMg2Tl crystal.

Cell and atoms, written as CIF:
```
data_BaMg2Tl
_chemical_formula_sum 'Ba1 Mg2 Tl1'
_cell_length_a 3.6865
_cell_length_b 4.8986
_cell_length_c 7.3593
_cell_angle_alpha 90.00
_cell_angle_beta 104.32
_cell_angle_gamma 90.00
_space_group_name_H-M_alt 'P 1 m 1'
_space_group_IT_number 6
loop_
_space_group_symop_operation_xyz
'x,y,z'
'x,-y,z'
loop_
_atom_site_label
_atom_site_type_symbol
_atom_site_fract_x
_atom_site_fract_y
_atom_site_fract_z
Ba1 Ba 0.0000 0.0000 0.0000
Mg1 Mg 0.2575 0.0000 0.5086
Mg2 Mg 0.6871 0.5000 0.3665
Tl1 Tl 0.3729 0.5000 0.7439
```

ρ: 5033 kg/m³
spin magnetization: 0.00 μB/f.u.
energy above the most stable polymorph in this dataset: 0.301 eV per formula unit
final energy: -1.98 eV per atom
formation energy: -0.111 eV per atom

=====

9.
Density functional theory data (PBE) for a relaxed HgIrRu crystal.

Cell and atoms, written as CIF:
```
data_HgIrRu
_chemical_formula_sum 'Hg1 Ir1 Ru1'
_cell_length_a 4.4878
_cell_length_b 4.4878
_cell_length_c 2.8609
_cell_angle_alpha 90.00
_cell_angle_beta 90.00
_cell_angle_gamma 120.00
_space_group_name_H-M_alt 'P -6 m 2'
_space_group_IT_number 187
_space_group_name_Hall 'P -6 2'
loop_
_atom_site_label
_atom_site_type_symbol
_atom_site_fract_x
_atom_site_fract_y
_atom_site_fract_z
Hg1 Hg 0.0000 0.0000 0.0000
Ir1 Ir 0.6667 0.3333 0.5000
Ru1 Ru 0.3333 0.6667 0.5000
```

ρ: 16435 kg/m³
spin magnetization: 0.00 μB/f.u.
energy above the most stable polymorph in this dataset: 0.911 eV per formula unit
final energy: -5.55 eV per atom
formation energy: 0.598 eV per atom

=====

10.
Density functional theory data (PBE) for a relaxed Al2Zn2Cu7 crystal.

Cell and atoms, written as CIF:
```
data_Al2Zn2Cu7
_chemical_formula_sum 'Al4 Zn4 Cu14'
_cell_length_a 8.9915
_cell_length_b 7.8527
_cell_length_c 4.4292
_cell_angle_alpha 90.00
_cell_angle_beta 105.10
_cell_angle_gamma 90.00
_space_group_name_H-M_alt 'C 1 2/m 1'
_space_group_IT_number 12
loop_
_space_group_symop_operation_xyz
'x,y,z'
'-x,-y,-z'
'-x,y,-z'
'x,-y,z'
'x+1/2,y+1/2,z'
'-x+1/2,-y+1/2,-z'
'-x+1/2,y+1/2,-z'
'x+1/2,-y+1/2,z'
loop_
_atom_site_label
_atom_site_type_symbol
_atom_site_fract_x
_atom_site_fract_y
_atom_site_fract_z
Al1 Al 0.0000 0.2063 0.0000
Zn1 Zn 0.2466 0.0000 0.2344
Cu1 Cu 0.0000 0.0000 0.5000
Cu2 Cu 0.0431 0.5000 0.2713
Cu3 Cu 0.2236 0.1781 0.7340
```

ρ: 6925 kg/m³
spin magnetization: 0.00 μB/f.u.
energy above the most stable polymorph in this dataset: 1.216 eV per formula unit
final energy: -3.50 eV per atom
formation energy: 0.015 eV per atom

=====

11.
Density functional theory data (PBE) for a relaxed Pm2FeGe6Os crystal.

Cell and atoms, written as CIF:
```
data_Pm2FeGe6Os
_chemical_formula_sum 'Pm12 Fe6 Ge36 Os6'
_cell_length_a 7.5824
_cell_length_b 7.5824
_cell_length_c 26.1577
_cell_angle_alpha 90.00
_cell_angle_beta 90.00
_cell_angle_gamma 120.00
_space_group_name_H-M_alt 'R -3 m'
_space_group_IT_number 166
_space_group_name_Hall '-R 3 2"'
loop_
_atom_site_label
_atom_site_type_symbol
_atom_site_fract_x
_atom_site_fract_y
_atom_site_fract_z
Pm1 Pm 0.0000 0.0000 0.1332
Pm2 Pm 0.0000 0.0000 0.2794
Fe1 Fe 0.0000 0.0000 0.0000
Fe2 Fe 0.0000 0.0000 0.5000
Ge1 Ge 0.0214 0.5107 0.1237
Ge2 Ge 0.0243 0.5122 0.7117
Os1 Os 0.0000 0.0000 0.3938
```

ρ: 7435 kg/m³
spin magnetization: 0.60 μB/f.u.
final energy: -5.83 eV per atom
formation energy: -0.145 eV per atom

=====

12.
Density functional theory data (PBE) for a relaxed Th3BiC2 crystal.

Cell and atoms, written as CIF:
```
data_Th3BiC2
_chemical_formula_sum 'Th12 Bi4 C8'
_cell_length_a 4.1600
_cell_length_b 14.1186
_cell_length_c 10.1144
_cell_angle_alpha 90.00
_cell_angle_beta 90.00
_cell_angle_gamma 90.00
_space_group_name_H-M_alt 'C m c m'
_space_group_IT_number 63
_space_group_name_Hall '-C 2c 2'
loop_
_atom_site_label
_atom_site_type_symbol
_atom_site_fract_x
_atom_site_fract_y
_atom_site_fract_z
Th1 Th 0.0000 0.0571 0.2500
Th2 Th 0.0000 0.3844 0.0582
Bi1 Bi 0.0000 0.2519 0.7500
C1 C 0.0000 0.0000 0.0000
C2 C 0.0000 0.4729 0.2500
```

ρ: 10388 kg/m³
spin magnetization: 0.00 μB/f.u.
energy above the most stable polymorph in this dataset: 0.000 eV per formula unit
final energy: -7.82 eV per atom
formation energy: -0.386 eV per atom

=====

13.
Density functional theory data (PBE) for a relaxed Sm4GaTe2P crystal.

Cell and atoms, written as CIF:
```
data_Sm4GaTe2P
_chemical_formula_sum 'Sm4 Ga1 Te2 P1'
_cell_length_a 7.4728
_cell_length_b 4.2173
_cell_length_c 7.6302
_cell_angle_alpha 90.00
_cell_angle_beta 108.35
_cell_angle_gamma 90.00
_space_group_name_H-M_alt 'P 1 2/m 1'
_space_group_IT_number 10
loop_
_space_group_symop_operation_xyz
'x,y,z'
'-x,-y,-z'
'-x,y,-z'
'x,-y,z'
loop_
_atom_site_label
_atom_site_type_symbol
_atom_site_fract_x
_atom_site_fract_y
_atom_site_fract_z
Sm1 Sm 0.2350 0.0000 0.2176
Sm2 Sm 0.2533 0.5000 0.7717
Ga1 Ga 0.5000 0.0000 0.0000
Te1 Te 0.0000 0.0000 0.5000
Te2 Te 0.5000 0.5000 0.5000
P1 P 0.0000 0.5000 0.0000
```

ρ: 6965 kg/m³
spin magnetization: 0.00 μB/f.u.
final energy: -5.47 eV per atom

=====

14.
Density functional theory data (PBE) for a relaxed YMnTc2 crystal.

Cell and atoms, written as CIF:
```
data_YMnTc2
_chemical_formula_sum 'Y1 Mn1 Tc2'
_cell_length_a 3.1554
_cell_length_b 3.1554
_cell_length_c 6.8553
_cell_angle_alpha 90.00
_cell_angle_beta 90.00
_cell_angle_gamma 90.00
_space_group_name_H-M_alt 'P 4/m m m'
_space_group_IT_number 123
_space_group_name_Hall '-P 4 2'
loop_
_atom_site_label
_atom_site_type_symbol
_atom_site_fract_x
_atom_site_fract_y
_atom_site_fract_z
Y1 Y 0.0000 0.0000 0.0000
Mn1 Mn 0.0000 0.0000 0.5000
Tc1 Tc 0.5000 0.5000 0.3102
```

ρ: 8268 kg/m³
spin magnetization: 1.75 μB/f.u.
energy above the most stable polymorph in this dataset: 0.132 eV per formula unit
final energy: -8.90 eV per atom
formation energy: 0.193 eV per atom